Material: YTl
Method: DFT, GGA-PBE
State: optimized geometry

Its size of the total moment is 0.000 μB/atom. The calculation puts the total DFT energy (no corrections) at -4.74 eV/atom. The value obtained for the formation energy from the elements is -0.32 eV per atom.

Cell: 6.487 6.486 6.486 Å, 144.42 134.48 59.08°
Fractional positions:
Y (0.587, 0.504, 0.083)
Y (0.330, 0.746, 0.583)
Tl (0.070, 0.987, 0.083)
Tl (0.847, 0.263, 0.584)